[1]
Density functional theory data (GGA-PBE) for a geometry-optimized NaCd6In8 structure.

Output
* D(E_F): 5.52 states/eV/cell
* final energy: -1.87 eV per atom
* calculated density: 6.502 g cm⁻³
* V: 27.516 Å³ per atom

Cell and atoms, written as CIF:
```
data_NaCd6In8
_space_group_name_H-M_alt 'P -3'
_space_group_IT_number 147
_cell_length_a 8.7612
_cell_length_b 8.7612
_cell_length_c 6.2089
_cell_angle_alpha 90.00
_cell_angle_beta 90.00
_cell_angle_gamma 120.00
loop_
_space_group_symop_operation_xyz
'x,y,z'
'-x,-y,-z'
'-y,x-y,z'
'y,-x+y,-z'
'-x+y,-x,z'
'x-y,x,-z'
loop_
_atom_site_label
_atom_site_type_symbol
_atom_site_fract_x
_atom_site_fract_y
_atom_site_fract_z
_atom_site_occupancy
Na1 Na 0.0000 0.0000 0.0000 1
Cd1 Cd 0.0487 0.6745 0.0963 1
In1 In 0.0361 0.3491 0.4003 1
In2 In 0.3333 0.6667 0.7429 1
```

[2]
Density functional theory data (GGA-PBE) for a geometry-optimized NaCd6In4 structure.

Output
* D(E_F): 4.38 states/eV/cell
* final energy: -1.60 eV per atom
* calculated density: 6.567 g cm⁻³
* V: 26.592 Å³ per atom

Cell and atoms, written as CIF:
```
data_NaCd6In4
_space_group_name_H-M_alt 'P -6 m 2'
_space_group_IT_number 187
_space_group_name_Hall 'P -6 2'
_cell_length_a 8.5495
_cell_length_b 8.5495
_cell_length_c 4.6209
_cell_angle_alpha 90.00
_cell_angle_beta 90.00
_cell_angle_gamma 120.00
loop_
_atom_site_label
_atom_site_type_symbol
_atom_site_fract_x
_atom_site_fract_y
_atom_site_fract_z
_atom_site_occupancy
Na1 Na 0.0000 0.0000 0.0000 1
Cd1 Cd 0.1973 0.3946 0.5000 1
Cd2 Cd 0.5348 0.0695 0.0000 1
In1 In 0.3333 0.6667 0.0000 1
In2 In 0.3945 0.1973 0.5000 1
```

[3]
Density functional theory data (GGA-PBE) for a geometry-optimized Na2Cd5In structure.

Output
* D(E_F): 4.45 states/eV/cell
* final energy: -1.32 eV per atom
* calculated density: 6.264 g cm⁻³
* V: 23.952 Å³ per atom

Cell and atoms, written as CIF:
```
data_Na2Cd5In
_space_group_name_H-M_alt 'I 4 m m'
_space_group_IT_number 107
_space_group_name_Hall 'I 4 -2'
_cell_length_a 6.4902
_cell_length_b 6.4902
_cell_length_c 9.0979
_cell_angle_alpha 90.00
_cell_angle_beta 90.00
_cell_angle_gamma 90.00
loop_
_atom_site_label
_atom_site_type_symbol
_atom_site_fract_x
_atom_site_fract_y
_atom_site_fract_z
_atom_site_occupancy
Na1 Na 0.0000 0.5000 0.0000 1
Cd1 Cd 0.0000 0.0000 0.4993 1
Cd2 Cd 0.2505 0.2505 0.2502 1
In1 In 0.0000 0.0000 0.0012 1
```

[4]
Density functional theory data (GGA-PBE) for a geometry-optimized NaCd4In12 structure.

Output
* D(E_F): 19.63 states/eV/cell
* final energy: -2.10 eV per atom
* calculated density: 6.010 g cm⁻³
* V: 30.076 Å³ per atom

Cell and atoms, written as CIF:
```
data_NaCd4In12
_space_group_name_H-M_alt 'I m -3'
_space_group_IT_number 204
_space_group_name_Hall '-I 2 2 3'
_cell_length_a 10.0748
_cell_length_b 10.0748
_cell_length_c 10.0748
_cell_angle_alpha 90.00
_cell_angle_beta 90.00
_cell_angle_gamma 90.00
loop_
_atom_site_label
_atom_site_type_symbol
_atom_site_fract_x
_atom_site_fract_y
_atom_site_fract_z
_atom_site_occupancy
Na1 Na 0.0000 0.0000 0.0000 1
Cd1 Cd 0.2500 0.2500 0.2500 1
In1 In 0.0000 0.3515 0.1511 1
```

[5]
Density functional theory data (GGA-PBE) for a geometry-optimized Na4Cd2In structure.

Output
* D(E_F): 9.61 states/eV/cell
* final energy: -1.49 eV per atom
* calculated density: 3.902 g cm⁻³
* V: 26.241 Å³ per atom

Cell and atoms, written as CIF:
```
data_Na4Cd2In
_space_group_name_H-M_alt 'R -3 m'
_space_group_IT_number 166
_space_group_name_Hall '-R 3 2"'
_cell_length_a 5.3186
_cell_length_b 5.3186
_cell_length_c 22.4942
_cell_angle_alpha 90.00
_cell_angle_beta 90.00
_cell_angle_gamma 120.00
loop_
_atom_site_label
_atom_site_type_symbol
_atom_site_fract_x
_atom_site_fract_y
_atom_site_fract_z
_atom_site_occupancy
Na1 Na 0.0000 0.0000 0.0713 1
Na2 Na 0.0000 0.0000 0.2193 1
Cd1 Cd 0.0000 0.0000 0.3593 1
In1 In 0.0000 0.0000 0.5000 1
```

[6]
Density functional theory data (GGA-PBE) for a geometry-optimized Na9Cd2In structure.

Output
* D(E_F): 4.01 states/eV/cell
* final energy: -1.41 eV per atom
* calculated density: 2.513 g cm⁻³
* V: 30.101 Å³ per atom

Cell and atoms, written as CIF:
```
data_Na9Cd2In
_space_group_name_H-M_alt 'P 4/m m m'
_space_group_IT_number 123
_space_group_name_Hall '-P 4 2'
_cell_length_a 5.0079
_cell_length_b 5.0079
_cell_length_c 14.4028
_cell_angle_alpha 90.00
_cell_angle_beta 90.00
_cell_angle_gamma 90.00
loop_
_atom_site_label
_atom_site_type_symbol
_atom_site_fract_x
_atom_site_fract_y
_atom_site_fract_z
_atom_site_occupancy
Na1 Na 0.0000 0.0000 0.0000 1
Na2 Na 0.0000 0.0000 0.3337 1
Na3 Na 0.0000 0.5000 0.1661 1
Na4 Na 0.0000 0.5000 0.5000 1
Cd1 Cd 0.5000 0.5000 0.3320 1
In1 In 0.5000 0.5000 0.0000 1
```

[7]
Density functional theory data (GGA-PBE) for a geometry-optimized NaCd9In2 structure.

Output
* D(E_F): 10.51 states/eV/cell
* final energy: -1.26 eV per atom
* calculated density: 7.004 g cm⁻³
* V: 24.978 Å³ per atom

Cell and atoms, written as CIF:
```
data_NaCd9In2
_space_group_name_H-M_alt 'R -3 m'
_space_group_IT_number 166
_space_group_name_Hall '-R 3 2"'
_cell_length_a 5.9592
_cell_length_b 5.9592
_cell_length_c 29.2389
_cell_angle_alpha 90.00
_cell_angle_beta 90.00
_cell_angle_gamma 120.00
loop_
_atom_site_label
_atom_site_type_symbol
_atom_site_fract_x
_atom_site_fract_y
_atom_site_fract_z
_atom_site_occupancy
Na1 Na 0.0000 0.0000 0.0000 1
Cd1 Cd 0.0000 0.0000 0.3337 1
Cd2 Cd 0.0000 0.0000 0.5000 1
Cd3 Cd 0.0048 0.5024 0.9148 1
In1 In 0.0000 0.0000 0.1440 1
```

[8]
Density functional theory data (GGA-PBE) for a geometry-optimized Na5Cd5In2 structure.

Output
* D(E_F): 8.61 states/eV/cell
* final energy: -1.48 eV per atom
* calculated density: 4.858 g cm⁻³
* V: 25.826 Å³ per atom

Cell and atoms, written as CIF:
```
data_Na5Cd5In2
_space_group_name_H-M_alt 'C 1 2/m 1'
_space_group_IT_number 12
_cell_length_a 9.0406
_cell_length_b 5.2339
_cell_length_c 13.0993
_cell_angle_alpha 90.00
_cell_angle_beta 90.22
_cell_angle_gamma 90.00
loop_
_space_group_symop_operation_xyz
'x,y,z'
'-x,-y,-z'
'-x,y,-z'
'x,-y,z'
'x+1/2,y+1/2,z'
'-x+1/2,-y+1/2,-z'
'-x+1/2,y+1/2,-z'
'x+1/2,-y+1/2,z'
loop_
_atom_site_label
_atom_site_type_symbol
_atom_site_fract_x
_atom_site_fract_y
_atom_site_fract_z
_atom_site_occupancy
Na1 Na 0.0000 0.0000 0.0000 1
Na2 Na 0.1658 0.5000 0.5765 1
Na3 Na 0.1661 0.5000 0.8302 1
Cd1 Cd 0.0000 0.0000 0.5000 1
Cd2 Cd 0.0018 0.0000 0.2737 1
Cd3 Cd 0.1657 0.5000 0.0717 1
In1 In 0.1686 0.5000 0.3055 1
```

Q: calculated density of number 8 (Na5Cd5In2)?
A: 4.858 g cm⁻³

Q: Among the records above, which one has the highest final energy?
A: NaCd9In2

Q: The highest V belongs to which entry?
A: Na9Cd2In